Entry 1:
Sm2PdN | PBE | relaxed

Summary:
Raw formation energy   -0.604 eV/atom
Space-group type   P4/mmm (123)
E above lowest polymorph   0.054 eV per atom
V   18.36 Å³/atom
Total DFT energy (no corrections)   -25.4 eV per formula unit

a b c (Å): 3.251 3.251 6.949
angles (deg): 90.00 90.00 90.00
Element x y z (fractional)
Sm 0.000 0.000 0.211
Sm 0.000 0.000 0.789
Pd 0.500 0.500 0.500
N 0.500 0.500 0.000

Entry 2:
Sm4Pd2N | PBE | relaxed

Summary:
Raw formation energy   -0.779 eV/atom
Space-group type   I4/mmm (139)
V   24.33 Å³/atom
Total DFT energy (no corrections)   -43.0 eV per formula unit

a b c (Å): 8.042 8.042 8.042
angles (deg): 144.99 144.99 50.35
Element x y z (fractional)
Sm 0.000 0.500 0.500
Sm 0.178 0.178 0.000
Sm 0.500 0.000 0.500
Sm 0.822 0.822 0.000
Pd 0.370 0.370 0.000
Pd 0.630 0.630 0.000
N 0.000 0.000 0.000